Cs3S, optimized geometry, DFT PBE; ΔE_f (raw) = -567 meV/atom; energy above the most stable polymorph in this dataset = 144 meV/atom; E = -2.239 eV/atom; space-group type = No. 25
1.0
-2.3379 -0.5198 -4.3882
-3.9990 -1.8755 2.3527
-3.8794 9.4586 0.9464
S Cs
1 3
Direct
0.0000 0.0000 0.0827
0.5000 0.0000 0.8090
0.0000 0.5000 0.3583
0.5000 0.5000 0.0833